(1)
The following is a PBE calculation of LaAs2W after structural relaxation, from the Alexandria database. Values from VASP.

Cell and atoms, written as Quantum ESPRESSO input:
```
&SYSTEM
  ibrav = 0, nat = 4, ntyp = 3
/
ATOMIC_SPECIES
As 74.92 As.upf
La 138.91 La.upf
W 183.84 W.upf
CELL_PARAMETERS angstrom
-4.850 -0.435 5.454
-0.170 -0.981 7.243
2.544 3.211 -6.056
ATOMIC_POSITIONS crystal
As 0.776 0.276 0.500
As 0.069 0.069 0.000
La 0.453 0.453 0.000
W 0.202 0.702 0.500
```

Its space-group type is No. 44. The calculation puts the formation energy at -0.376 eV per atom. As for the crystal system: orthorhombic. As for the density of states at the Fermi level: 0.926 states/eV/atom. The value obtained for the relative energy among the computed polymorphs is 0.105 eV per atom.

***

(2)
The following is a PBE calculation of Tb4SN3 after structural relaxation, from the Alexandria database. Values from VASP.

Cell and atoms, written as Quantum ESPRESSO input:
```
&SYSTEM
  ibrav = 0, nat = 8, ntyp = 3
/
ATOMIC_SPECIES
N 14.01 N.upf
Tb 158.93 Tb.upf
S 32.06 S.upf
CELL_PARAMETERS angstrom
-0.755 2.830 -2.041
-0.434 -0.403 -3.520
-12.154 -1.122 -0.183
ATOMIC_POSITIONS crystal
N 0.247 0.247 0.258
N 0.753 0.753 0.742
N 0.500 0.500 0.500
Tb 0.614 0.614 0.157
Tb 0.129 0.129 0.613
Tb 0.871 0.871 0.387
Tb 0.386 0.386 0.843
S 0.000 0.000 0.000
```

Its space-group type is No. 166. As for the crystal system: trigonal. As for the density of states at the Fermi level: 0.193 states/eV/atom. For the formation energy from raw total energies, the calculation gives -14.2 eV per formula unit.

***

(3)
The following is a PBE calculation of Er5NiBi2 after structural relaxation, from the Alexandria database. Values from VASP.

Cell and atoms, written as Quantum ESPRESSO input:
```
&SYSTEM
  ibrav = 0, nat = 16, ntyp = 3
/
ATOMIC_SPECIES
Er 167.26 Er.upf
Bi 208.98 Bi.upf
Ni 58.69 Ni.upf
CELL_PARAMETERS angstrom
4.463 0.000 0.000
0.000 8.012 0.000
0.000 0.000 12.229
ATOMIC_POSITIONS crystal
Er 0.500 0.822 0.939
Er 0.000 0.362 0.306
Er 0.000 0.862 0.194
Er 0.500 0.322 0.561
Er 0.000 0.000 0.500
Er 0.500 0.678 0.439
Er 0.500 0.178 0.061
Er 0.000 0.138 0.806
Er 0.000 0.638 0.694
Er 0.000 0.500 0.000
Bi 0.500 0.429 0.826
Bi 0.500 0.929 0.674
Bi 0.500 0.071 0.326
Bi 0.500 0.571 0.174
Ni 0.000 0.500 0.500
Ni 0.000 0.000 0.000
```

Its space-group type is No. 55. The calculation puts the formation energy at -0.551 eV per atom. As for the crystal system: orthorhombic. As for the density of states at the Fermi level: 0.772 states/eV/atom.

***

(4)
The following is a PBE calculation of In3AgBr4 after structural relaxation, from the Alexandria database. Values from VASP.

Cell and atoms, written as Quantum ESPRESSO input:
```
&SYSTEM
  ibrav = 0, nat = 16, ntyp = 3
/
ATOMIC_SPECIES
Br 79.90 Br.upf
In 114.82 In.upf
Ag 107.87 Ag.upf
CELL_PARAMETERS angstrom
6.559 0.000 0.000
0.000 10.014 0.000
0.000 0.000 9.093
ATOMIC_POSITIONS crystal
Br 0.076 0.332 0.264
Br 0.576 0.668 0.764
Br 0.076 0.332 0.736
Br 0.573 0.057 0.500
Br 0.576 0.668 0.236
Br 0.073 0.943 0.000
Br 0.578 0.246 0.000
Br 0.078 0.754 0.500
In 0.067 0.086 0.500
In 0.566 0.353 0.693
In 0.066 0.647 0.807
In 0.566 0.353 0.307
In 0.567 0.914 0.000
In 0.066 0.647 0.193
Ag 0.014 0.210 0.000
Ag 0.514 0.790 0.500
```

Its space-group type is No. 31. As for the crystal system: orthorhombic. As for the density of states at the Fermi level: 0.000 states/eV/atom. For the formation energy from raw total energies, the calculation gives -4.4 eV per formula unit.

***

(5)
The following is a PBE calculation of Li2ZnSb after structural relaxation, from the Alexandria database. Values from VASP.

Cell and atoms, written as Quantum ESPRESSO input:
```
&SYSTEM
  ibrav = 0, nat = 8, ntyp = 3
/
ATOMIC_SPECIES
Sb 121.76 Sb.upf
Li 6.94 Li.upf
Zn 65.41 Zn.upf
CELL_PARAMETERS angstrom
7.579 0.000 0.000
0.000 7.579 0.000
3.789 3.789 2.851
ATOMIC_POSITIONS crystal
Sb 0.750 0.250 0.500
Sb 0.000 0.000 0.000
Li 0.375 0.389 0.750
Li 0.875 0.861 0.750
Li 0.139 0.625 0.250
Li 0.611 0.125 0.250
Zn 0.500 0.500 0.000
Zn 0.250 0.750 0.500
```

Its space-group type is No. 122. As for the crystal system: tetragonal. As for the density of states at the Fermi level: 0.416 states/eV/atom. For the formation energy from raw total energies, the calculation gives -0.5 eV per formula unit.

***

(6)
The following is a PBE calculation of CeHo3Ga2 after structural relaxation, from the Alexandria database. Values from VASP.

Cell and atoms, written as Quantum ESPRESSO input:
```
&SYSTEM
  ibrav = 0, nat = 12, ntyp = 3
/
ATOMIC_SPECIES
Ga 69.72 Ga.upf
Ho 164.93 Ho.upf
Ce 140.12 Ce.upf
CELL_PARAMETERS angstrom
5.184 0.000 0.000
0.000 7.047 0.000
-2.592 -3.524 8.068
ATOMIC_POSITIONS crystal
Ga 0.653 0.153 0.306
Ga 0.347 0.847 0.694
Ga 0.653 0.653 0.306
Ga 0.347 0.347 0.694
Ho 0.500 0.750 0.000
Ho 0.820 0.570 0.640
Ho 0.500 0.250 0.000
Ho 0.820 0.070 0.640
Ho 0.180 0.930 0.360
Ho 0.180 0.430 0.360
Ce 0.000 0.500 0.000
Ce 0.000 0.000 0.000
```

Its space-group type is No. 65. The calculation puts the formation energy at -0.304 eV per atom. As for the crystal system: orthorhombic. As for the density of states at the Fermi level: 1.663 states/eV/atom.

***

What did the sixth record say?
The following is a PBE calculation of CeHo3Ga2 after structural relaxation, from the Alexandria database. Values from VASP.

Cell and atoms, written as Quantum ESPRESSO input:
```
&SYSTEM
  ibrav = 0, nat = 12, ntyp = 3
/
ATOMIC_SPECIES
Ga 69.72 Ga.upf
Ho 164.93 Ho.upf
Ce 140.12 Ce.upf
CELL_PARAMETERS angstrom
5.184 0.000 0.000
0.000 7.047 0.000
-2.592 -3.524 8.068
ATOMIC_POSITIONS crystal
Ga 0.653 0.153 0.306
Ga 0.347 0.847 0.694
Ga 0.653 0.653 0.306
Ga 0.347 0.347 0.694
Ho 0.500 0.750 0.000
Ho 0.820 0.570 0.640
Ho 0.500 0.250 0.000
Ho 0.820 0.070 0.640
Ho 0.180 0.930 0.360
Ho 0.180 0.430 0.360
Ce 0.000 0.500 0.000
Ce 0.000 0.000 0.000
```

Its space-group type is No. 65. The calculation puts the formation energy at -0.304 eV per atom. As for the crystal system: orthorhombic. As for the density of states at the Fermi level: 1.663 states/eV/atom.